Model A:
A geometry-optimized SmInAu4 structure, computed with PBE.

Cell: 3.7406 3.7930 9.0808 Å, 87.31 89.59 90.00°
With the nearest neighbours (Å) after each atom.
Space group P-1 (No. 2)
Symmetry-distinct sites (fractional):
Sm 0.0000 0.0000 0.0000 [1 per cell]  10 Au 3.07-3.10
In 0.5000 0.5000 0.5000 [1 per cell]  10 Au 2.94-3.14
Au 0.0035 0.0181 0.6617 [2 per cell]  4 In 2.94-3.14, 5 Au 2.95-3.10, 1 Sm 3.07
Au 0.4966 0.4830 0.1741 [2 per cell]  1 In 2.96, 5 Au 3.01-3.16, 4 Sm 3.09-3.10

Computed properties:
* density of states at the Fermi level: 2.3 states/eV/cell
* M_tot: 0.00 μB/atom
* density: 13.6 Mg/m³

***

Model B:
A geometry-optimized SmInAu4 structure, computed with PBE.

Cell: 7.9793 7.9793 7.9793 Å, 90.00 90.00 90.00°
With the nearest neighbours (Å) after each atom.
Space group F-43m (No. 216)
Symmetry-distinct sites (fractional):
Sm 0.0000 0.0000 0.0000 [4 per cell]  12 Au 3.31, 4 In 3.46
In 0.2500 0.2500 0.7500 [4 per cell]  12 Au 3.31, 4 Sm 3.46
Au 0.1249 0.1249 0.3751 [16 per cell]  6 Au 2.82

Computed properties:
* density of states at the Fermi level: 7.0 states/eV/cell
* M_tot: 0.00 μB/atom
* density: 13.8 Mg/m³

***

Which is most stable, and by how much? model B, by 10 meV/atom.

***

Model A:
A geometry-optimized SmTmInAu structure, computed with PBE.

Cell: 7.4192 7.4192 7.4192 Å, 90.00 90.00 90.00°
With the nearest neighbours (Å) after each atom.
Space group F-43m (No. 216)
Symmetry-distinct sites (fractional):
Sm 0.0000 0.0000 0.0000 [4 per cell]  4 Au 3.21, 4 In 3.21
Tm 0.0000 0.0000 0.5000 [4 per cell]  4 In 3.21, 4 Au 3.21
In 0.2500 0.2500 0.2500 [4 per cell]  4 Tm 3.21, 4 Sm 3.21
Au 0.2500 0.2500 0.7500 [4 per cell]  4 Tm 3.21, 4 Sm 3.21

Computed properties:
* density of states at the Fermi level: 12.9 states/eV/cell
* M_tot: 0.00 μB/atom
* density: 10.3 Mg/m³

***

Model B:
A geometry-optimized SmTmInAu structure, computed with PBE.

Cell: 3.6172 3.6172 7.7400 Å, 90.00 90.00 90.00°
With the nearest neighbours (Å) after each atom.
Space group P4mm (No. 99)
Symmetry-distinct sites (fractional):
Sm 0.0000 0.0000 0.0000 [1 per cell]  4 Au 3.26, 4 In 3.33, 1 Tm 3.58, 4 Sm 3.62
Tm 0.0000 0.0000 0.5375 [1 per cell]  4 Au 2.99, 4 In 3.26
In 0.5000 0.5000 0.2755 [1 per cell]  4 Tm 3.26, 4 Sm 3.33, 1 Au 3.58, 4 In 3.62
Au 0.5000 0.5000 0.7385 [1 per cell]  4 Tm 2.99, 4 Sm 3.26

Computed properties:
* density of states at the Fermi level: 2.3 states/eV/cell
* M_tot: 0.00 μB/atom
* density: 10.3 Mg/m³

***

Which is most stable, and by how much? model B, by 72 meV/atom.

***

Model A:
A geometry-optimized In4SnAu5 structure, computed with PBE.

Cell: 5.5520 6.2429 7.1062 Å, 91.02 92.38 112.94°
With the nearest neighbours (Å) after each atom.
Space group P1 (No. 1)
Symmetry-distinct sites (fractional):
In 0.0000 0.0000 0.0000 [1 per cell]  5 Au 2.84-3.10, 1 In 3.10
In 0.1172 0.4171 0.7394 [1 per cell]  5 Au 2.82-3.04, 1 In 3.10
In 0.5001 0.0893 0.6980 [1 per cell]  5 Au 2.85-2.99
In 0.8713 0.4504 0.1403 [1 per cell]  5 Au 2.88-3.13
Sn 0.4816 0.6237 0.3805 [1 per cell]  6 Au 2.87-3.14
Au 0.0462 0.7402 0.4938 [1 per cell]  3 In 2.82-2.97, 3 Au 2.84-2.94, 2 Sn 2.92-3.00
Au 0.3925 0.1456 0.2972 [1 per cell]  3 In 2.84-2.94, 1 Sn 2.87, 4 Au 2.89-2.93
Au 0.4128 0.8060 0.0187 [1 per cell]  5 In 2.85-3.13, 2 Au 2.89-2.91, 1 Sn 2.90
Au 0.6751 0.5796 0.7947 [1 per cell]  5 In 2.87-3.04, 2 Au 2.89-2.94, 1 Sn 3.14
Au 0.8792 0.1045 0.4059 [1 per cell]  3 Au 2.84-2.90, 4 In 2.91-3.10, 1 Sn 2.95

Computed properties:
* density of states at the Fermi level: 3.6 states/eV/cell
* M_tot: 0.00 μB/atom
* density: 11.5 Mg/m³

***

Model B:
A geometry-optimized In4SnAu5 structure, computed with PBE.

Cell: 9.0907 9.0907 5.7596 Å, 90.00 90.00 90.00°
With the nearest neighbours (Å) after each atom.
Space group I4 (No. 79)
Symmetry-distinct sites (fractional):
In 0.0975 0.6975 0.0000 [8 per cell]  6 Au 2.86-2.89
Sn 0.0000 0.0000 0.5020 [2 per cell]  6 Au 2.86-2.88
Au 0.0000 0.0000 0.0020 [2 per cell]  2 Sn 2.88, 4 In 2.89
Au 0.1021 0.7019 0.5000 [8 per cell]  5 In 2.86-2.88, 1 Sn 2.86

Computed properties:
* density of states at the Fermi level: 10.0 states/eV/cell
* M_tot: 0.00 μB/atom
* density: 10.9 Mg/m³

***

Which is most stable, and by how much? model B, by 37 meV/atom.